# 1
The following is a PBE calculation of Pm6Ni2PI3 after structural relaxation, from Alexandria via LeMat-Bulk.

a = 7.2406 Å, b = 12.5233 Å, c = 8.1592 Å
α = 90.00°, β = 107.18°, γ = 90.00°
Last column: nearest neighbours and their distance in Å.
Space group C2/m (No. 12)
Symmetry-distinct sites (fractional):
Pm 0.2167 0.0000 0.1852  2 Ni 2.78, 1 P 2.89
Pm 0.2350 0.3277 0.1855  2 Ni 2.77-2.78, 1 P 2.88
Ni 0.0000 0.1671 0.0000  6 Pm 2.77-2.78
P 0.0000 0.5000 0.0000  6 Pm 2.88-2.89
I 0.0000 0.0000 0.5000  6 Pm 3.38-3.47
I 0.0000 0.3372 0.5000  6 Pm 3.41-3.47

Summary:
- M_tot: 0.000 μB/atom
- Final energy: -120.95 eV per cell
- Theoretical density: 6.57 Mg/m³

***

# 2
The following is a PBE calculation of Pm4NiPI2 after structural relaxation, from Alexandria via LeMat-Bulk.

a = 7.4643 Å, b = 4.0671 Å, c = 8.0405 Å
α = 90.00°, β = 106.51°, γ = 90.00°
Last column: nearest neighbours and their distance in Å.
Space group P2/m (No. 10)
Symmetry-distinct sites (fractional):
Pm 0.2125 0.0000 0.1844  2 Ni 2.74, 1 P 2.93
Pm 0.2702 0.5000 0.8072  2 P 2.82, 1 Ni 2.87
Ni 0.0000 0.5000 0.0000  6 Pm 2.74-2.87
P 0.5000 0.0000 0.0000  6 Pm 2.82-2.93
I 0.0000 0.0000 0.5000  6 Pm 3.35-3.39
I 0.5000 0.5000 0.5000  6 Pm 3.38-3.48

Summary:
- M_tot: 0.000 μB/atom
- Final energy: -41.12 eV per cell
- Theoretical density: 6.55 Mg/m³

***

Which of these has the lowest final energy?
Pm6Ni2PI3